LiAl2Pd8: relaxed, GGA-PBE.

Results
Magnetization, μB/f.u.: 0.0
Raw total energy, eV per atom: -5.15
Fermi-level density of states, states/eV/cell: 7.371
SG: Immm (71)
Formation energy, eV per formula unit: -5.688

Unit cell a=4.0717 b=7.1052 c=7.0509 alpha=120.26 beta=106.78 gamma=90.00
Closest atoms and distances in Å follow each position.
Sites, in units of the cell vectors:
Li (0.5000, 0.0000, 0.0000)  8 Pd 2.59-2.72
Al (0.2007, 0.7007, 0.4013)  10 Pd 2.57-2.74
Al (0.7993, 0.2993, 0.5987)  10 Pd 2.57-2.74
Pd (0.6601, 0.8775, 0.3201)  3 Al 2.57-2.60, 1 Li 2.72, 5 Pd 2.75-2.87
Pd (0.3399, 0.5574, 0.6799)  3 Al 2.57-2.60, 1 Li 2.72, 5 Pd 2.75-2.87
Pd (0.1401, 0.1401, 0.2802)  2 Li 2.59, 2 Al 2.74, 8 Pd 2.74-2.87
Pd (0.0000, 0.3129, 0.0000)  7 Pd 2.66-2.75, 2 Al 2.66
Pd (0.8599, 0.8599, 0.7198)  2 Li 2.59, 2 Al 2.74, 8 Pd 2.74-2.87
Pd (0.6601, 0.4426, 0.3201)  3 Al 2.57-2.60, 1 Li 2.72, 5 Pd 2.75-2.87
Pd (0.3399, 0.1225, 0.6799)  3 Al 2.57-2.60, 1 Li 2.72, 5 Pd 2.75-2.87
Pd (0.0000, 0.6871, 0.0000)  7 Pd 2.66-2.75, 2 Al 2.66